No. 1
This record from the Alexandria database describes K2AgO2 after structural relaxation. The functional is PBE.

Lattice parameters (Å, degrees): 6.506 6.506 4.116 90.00 90.00 90.00
Space group P4/mbm (No. 127)
Inequivalent atoms, fractional coordinates:
K (0.148, 0.352, 0.000) [4 per cell]
Ag (0.000, 0.000, 0.500) [2 per cell]
O (0.180, 0.680, 0.500) [4 per cell]

Values from the calculation:
Energy relative to the lowest polymorph listed for this composition = 263 meV per atom
Raw formation energy = -0.5648 eV/atom
Final energy = -0.131 Ha/atom

***

No. 2
This record from the Alexandria database describes InBSb2I after structural relaxation. The functional is PBE.

Lattice parameters (Å, degrees): 4.921 4.921 5.370 90.00 90.00 90.00
Space group P4/mmm (No. 123)
Inequivalent atoms, fractional coordinates:
In (0.000, 0.000, 0.000) [1 per cell]
B (0.500, 0.500, 0.500) [1 per cell]
Sb (0.000, 0.500, 0.500) [2 per cell]
I (0.500, 0.500, 0.000) [1 per cell]

Values from the calculation:
Energy relative to the lowest polymorph listed for this composition = 0 meV per atom
Raw formation energy = 0.6840 eV/atom
Final energy = -0.116 Ha/atom

***

No. 3
This record from the Alexandria database describes KGa2MoI after structural relaxation. The functional is PBE.

Lattice parameters (Å, degrees): 6.145 6.145 6.035 90.00 90.00 90.00
Space group P4/mmm (No. 123)
Inequivalent atoms, fractional coordinates:
K (0.000, 0.000, 0.000) [1 per cell]
Ga (0.000, 0.500, 0.000) [2 per cell]
Mo (0.000, 0.000, 0.500) [1 per cell]
I (0.500, 0.500, 0.500) [1 per cell]

Values from the calculation:
Raw formation energy = 1.5712 eV/atom
Final energy = -0.086 Ha/atom

***

No. 4
This record from the Alexandria database describes CaPu2Sn after structural relaxation. The functional is PBE.

Lattice parameters (Å, degrees): 4.621 4.621 5.132 90.00 90.00 90.00
Space group P4/mmm (No. 123)
Inequivalent atoms, fractional coordinates:
Ca (0.000, 0.000, 0.000) [1 per cell]
Pu (0.000, 0.500, 0.500) [2 per cell]
Sn (0.500, 0.500, 0.000) [1 per cell]

Values from the calculation:
Final energy = -0.325 Ha/atom
ΔH_f (0 K) = -182 meV per atom